<a>
# BaSi2Tc2 GGA-PBE relaxed
data_BaSi2Tc2
_chemical_formula_sum 'Ba2 Si4 Tc4'
_cell_length_a 7.728
_cell_length_b 7.728
_cell_length_c 2.970
_cell_angle_alpha 90.00
_cell_angle_beta 90.00
_cell_angle_gamma 90.00
_symmetry_space_group_name_H-M 'P 1'
_symmetry_Int_Tables_number 1
loop_
_symmetry_equiv_pos_as_xyz
'x,y,z'
loop_
_atom_site_label
_atom_site_type_symbol
_atom_site_fract_x
_atom_site_fract_y
_atom_site_fract_z
Ba1 Ba 0.000 0.000 0.000
Ba2 Ba 0.500 0.500 0.000
Si1 Si 0.136 0.364 0.500
Si2 Si 0.364 0.864 0.500
Si3 Si 0.636 0.136 0.500
Si4 Si 0.864 0.636 0.500
Tc1 Tc 0.135 0.635 0.000
Tc2 Tc 0.365 0.135 0.000
Tc3 Tc 0.635 0.865 0.000
Tc4 Tc 0.865 0.365 0.000
# Space-group type ... P4/mbm (127)
# DOS at the Fermi energy ... 6.6 states/eV/cell

---

<b>
# BaSi2Tc2 GGA-PBE relaxed
data_BaSi2Tc2
_chemical_formula_sum 'Ba1 Si2 Tc2'
_cell_length_a 5.845
_cell_length_b 5.845
_cell_length_c 5.845
_cell_angle_alpha 134.75
_cell_angle_beta 134.75
_cell_angle_gamma 65.91
_symmetry_space_group_name_H-M 'P 1'
_symmetry_Int_Tables_number 1
loop_
_symmetry_equiv_pos_as_xyz
'x,y,z'
loop_
_atom_site_label
_atom_site_type_symbol
_atom_site_fract_x
_atom_site_fract_y
_atom_site_fract_z
Ba1 Ba 0.000 0.000 0.000
Si1 Si 0.250 0.750 0.500
Si2 Si 0.750 0.250 0.500
Tc1 Tc 0.378 0.378 0.000
Tc2 Tc 0.622 0.622 0.000
# Space-group type ... I4/mmm (139)
# DOS at the Fermi energy ... 2.9 states/eV/cell

---

Result of the stability comparison: <a> is the least stable of them.

---

<a>
# BaSiTc3 GGA-PBE relaxed
data_BaSiTc3
_chemical_formula_sum 'Ba1 Si1 Tc3'
_cell_length_a 5.069
_cell_length_b 5.069
_cell_length_c 5.069
_cell_angle_alpha 90.00
_cell_angle_beta 90.00
_cell_angle_gamma 90.00
_symmetry_space_group_name_H-M 'P 1'
_symmetry_Int_Tables_number 1
loop_
_symmetry_equiv_pos_as_xyz
'x,y,z'
loop_
_atom_site_label
_atom_site_type_symbol
_atom_site_fract_x
_atom_site_fract_y
_atom_site_fract_z
Ba1 Ba 0.000 0.000 0.000
Si1 Si 0.500 0.500 0.500
Tc1 Tc 0.000 0.000 0.500
Tc2 Tc 0.000 0.500 0.000
Tc3 Tc 0.500 0.000 0.000
# Space-group type ... Pm-3m (221)
# DOS at the Fermi energy ... 5.5 states/eV/cell

---

<b>
# BaSiTc3 GGA-PBE relaxed
data_BaSiTc3
_chemical_formula_sum 'Ba1 Si1 Tc3'
_cell_length_a 4.690
_cell_length_b 4.690
_cell_length_c 4.690
_cell_angle_alpha 90.00
_cell_angle_beta 90.00
_cell_angle_gamma 90.00
_symmetry_space_group_name_H-M 'P 1'
_symmetry_Int_Tables_number 1
loop_
_symmetry_equiv_pos_as_xyz
'x,y,z'
loop_
_atom_site_label
_atom_site_type_symbol
_atom_site_fract_x
_atom_site_fract_y
_atom_site_fract_z
Ba1 Ba 0.000 0.000 0.000
Si1 Si 0.500 0.500 0.500
Tc1 Tc 0.000 0.500 0.500
Tc2 Tc 0.500 0.000 0.500
Tc3 Tc 0.500 0.500 0.000
# Space-group type ... Pm-3m (221)
# DOS at the Fermi energy ... 6.0 states/eV/cell

---

Result of the stability comparison: <a> is the least stable of them.

---

<a>
# Ba2SiTe GGA-PBE relaxed
data_Ba2SiTe
_chemical_formula_sum 'Ba2 Si1 Te1'
_cell_length_a 5.906
_cell_length_b 5.906
_cell_length_c 5.906
_cell_angle_alpha 60.00
_cell_angle_beta 60.00
_cell_angle_gamma 60.00
_symmetry_space_group_name_H-M 'P 1'
_symmetry_Int_Tables_number 1
loop_
_symmetry_equiv_pos_as_xyz
'x,y,z'
loop_
_atom_site_label
_atom_site_type_symbol
_atom_site_fract_x
_atom_site_fract_y
_atom_site_fract_z
Ba1 Ba 0.250 0.250 0.250
Ba2 Ba 0.750 0.750 0.750
Si1 Si 0.000 0.000 0.000
Te1 Te 0.500 0.500 0.500
# Space-group type ... Fm-3m (225)
# DOS at the Fermi energy ... 3.4 states/eV/cell

---

<b>
# Ba2SiTe GGA-PBE relaxed
data_Ba2SiTe
_chemical_formula_sum 'Ba2 Si1 Te1'
_cell_length_a 5.694
_cell_length_b 5.694
_cell_length_c 5.694
_cell_angle_alpha 113.70
_cell_angle_beta 113.70
_cell_angle_gamma 101.31
_symmetry_space_group_name_H-M 'P 1'
_symmetry_Int_Tables_number 1
loop_
_symmetry_equiv_pos_as_xyz
'x,y,z'
loop_
_atom_site_label
_atom_site_type_symbol
_atom_site_fract_x
_atom_site_fract_y
_atom_site_fract_z
Ba1 Ba 0.250 0.750 0.500
Ba2 Ba 0.750 0.250 0.500
Si1 Si 0.000 0.000 0.000
Te1 Te 0.500 0.500 0.000
# Space-group type ... I4/mmm (139)
# DOS at the Fermi energy ... 4.1 states/eV/cell

---

Result of the stability comparison: <a> is the least stable of them.

---

<a>
# Ba2SiTe GGA-PBE relaxed
data_Ba2SiTe
_chemical_formula_sum 'Ba2 Si1 Te1'
_cell_length_a 8.597
_cell_length_b 8.597
_cell_length_c 8.597
_cell_angle_alpha 33.36
_cell_angle_beta 33.36
_cell_angle_gamma 33.36
_symmetry_space_group_name_H-M 'P 1'
_symmetry_Int_Tables_number 1
loop_
_symmetry_equiv_pos_as_xyz
'x,y,z'
loop_
_atom_site_label
_atom_site_type_symbol
_atom_site_fract_x
_atom_site_fract_y
_atom_site_fract_z
Ba1 Ba 0.248 0.248 0.248
Ba2 Ba 0.752 0.752 0.752
Si1 Si 0.500 0.500 0.500
Te1 Te 0.000 0.000 0.000
# Space-group type ... R-3m (166)
# DOS at the Fermi energy ... 1.7 states/eV/cell

---

<b>
# Ba2SiTe GGA-PBE relaxed
data_Ba2SiTe
_chemical_formula_sum 'Ba2 Si1 Te1'
_cell_length_a 6.590
_cell_length_b 6.590
_cell_length_c 5.212
_cell_angle_alpha 98.02
_cell_angle_beta 98.02
_cell_angle_gamma 42.10
_symmetry_space_group_name_H-M 'P 1'
_symmetry_Int_Tables_number 1
loop_
_symmetry_equiv_pos_as_xyz
'x,y,z'
loop_
_atom_site_label
_atom_site_type_symbol
_atom_site_fract_x
_atom_site_fract_y
_atom_site_fract_z
Ba1 Ba 0.000 0.000 0.000
Ba2 Ba 0.742 0.742 0.540
Si1 Si 0.276 0.276 0.082
Te1 Te 0.457 0.457 0.461
# Space-group type ... Cm (8)
# DOS at the Fermi energy ... 1.2 states/eV/cell

---

<c>
# Ba2SiTe GGA-PBE relaxed
data_Ba2SiTe
_chemical_formula_sum 'Ba2 Si1 Te1'
_cell_length_a 7.066
_cell_length_b 7.066
_cell_length_c 7.066
_cell_angle_alpha 142.23
_cell_angle_beta 137.69
_cell_angle_gamma 57.99
_symmetry_space_group_name_H-M 'P 1'
_symmetry_Int_Tables_number 1
loop_
_symmetry_equiv_pos_as_xyz
'x,y,z'
loop_
_atom_site_label
_atom_site_type_symbol
_atom_site_fract_x
_atom_site_fract_y
_atom_site_fract_z
Ba1 Ba 0.000 0.000 0.000
Ba2 Ba 0.743 0.243 0.500
Si1 Si 0.282 0.782 0.500
Te1 Te 0.482 0.482 0.000
# Space-group type ... Imm2 (44)
# DOS at the Fermi energy ... 3.4 states/eV/cell

---

Result of the stability comparison: <c> is the least stable of them.

---

<a>
# Ba2SiTe GGA-PBE relaxed
data_Ba2SiTe
_chemical_formula_sum 'Ba4 Si2 Te2'
_cell_length_a 10.098
_cell_length_b 10.098
_cell_length_c 10.098
_cell_angle_alpha 138.04
_cell_angle_beta 138.04
_cell_angle_gamma 60.85
_symmetry_space_group_name_H-M 'P 1'
_symmetry_Int_Tables_number 1
loop_
_symmetry_equiv_pos_as_xyz
'x,y,z'
loop_
_atom_site_label
_atom_site_type_symbol
_atom_site_fract_x
_atom_site_fract_y
_atom_site_fract_z
Ba1 Ba 0.113 0.625 0.988
Ba2 Ba 0.375 0.363 0.488
Ba3 Ba 0.637 0.125 0.012
Ba4 Ba 0.875 0.887 0.512
Si1 Si 0.000 0.000 0.000
Si2 Si 0.750 0.250 0.500
Te1 Te 0.250 0.750 0.500
Te2 Te 0.500 0.500 0.000
# Space-group type ... I-42d (122)
# DOS at the Fermi energy ... 3.6 states/eV/cell

---

<b>
# Ba2SiTe GGA-PBE relaxed
data_Ba2SiTe
_chemical_formula_sum 'Ba2 Si1 Te1'
_cell_length_a 5.926
_cell_length_b 5.926
_cell_length_c 4.098
_cell_angle_alpha 90.00
_cell_angle_beta 90.00
_cell_angle_gamma 97.86
_symmetry_space_group_name_H-M 'P 1'
_symmetry_Int_Tables_number 1
loop_
_symmetry_equiv_pos_as_xyz
'x,y,z'
loop_
_atom_site_label
_atom_site_type_symbol
_atom_site_fract_x
_atom_site_fract_y
_atom_site_fract_z
Ba1 Ba 0.000 0.500 0.000
Ba2 Ba 0.500 0.000 0.000
Si1 Si 0.000 0.000 0.500
Te1 Te 0.500 0.500 0.500
# Space-group type ... Cmmm (65)
# DOS at the Fermi energy ... 2.2 states/eV/cell

---

<c>
# Ba2SiTe GGA-PBE relaxed
data_Ba2SiTe
_chemical_formula_sum 'Ba2 Si1 Te1'
_cell_length_a 4.932
_cell_length_b 6.989
_cell_length_c 4.939
_cell_angle_alpha 90.00
_cell_angle_beta 90.00
_cell_angle_gamma 90.00
_symmetry_space_group_name_H-M 'P 1'
_symmetry_Int_Tables_number 1
loop_
_symmetry_equiv_pos_as_xyz
'x,y,z'
loop_
_atom_site_label
_atom_site_type_symbol
_atom_site_fract_x
_atom_site_fract_y
_atom_site_fract_z
Ba1 Ba 0.000 0.000 0.000
Ba2 Ba 0.500 0.500 0.499
Si1 Si 0.000 0.500 0.999
Te1 Te 0.500 0.000 0.500
# Space-group type ... Pmm2 (25)
# DOS at the Fermi energy ... 2.7 states/eV/cell

---

<d>
# Ba2SiTe GGA-PBE relaxed
data_Ba2SiTe
_chemical_formula_sum 'Ba2 Si1 Te1'
_cell_length_a 4.120
_cell_length_b 4.120
_cell_length_c 8.549
_cell_angle_alpha 90.00
_cell_angle_beta 90.00
_cell_angle_gamma 90.00
_symmetry_space_group_name_H-M 'P 1'
_symmetry_Int_Tables_number 1
loop_
_symmetry_equiv_pos_as_xyz
'x,y,z'
loop_
_atom_site_label
_atom_site_type_symbol
_atom_site_fract_x
_atom_site_fract_y
_atom_site_fract_z
Ba1 Ba 0.000 0.000 0.249
Ba2 Ba 0.000 0.000 0.751
Si1 Si 0.500 0.500 0.500
Te1 Te 0.500 0.500 0.000
# Space-group type ... P4/mmm (123)
# DOS at the Fermi energy ... 3.2 states/eV/cell

---

Result of the stability comparison: <a> is the least stable of them.